Computed, not measured: a relaxed structure of UPH2 at the PBE level of DFT.

Unit cell a=3.503 b=3.741 c=3.741 alpha=90.00 beta=90.00 gamma=90.00
Each line ends with the local moment (μB).
Fractional positions:
H1 0.000 0.000 0.500  -0.01
H2 0.000 0.500 0.000  -0.01
U1 0.500 0.000 0.000  1.25
P1 0.500 0.500 0.500  -0.08

Values from the calculation:
The value obtained for the size of the total moment is 1.2 μB per formula unit. The value obtained for the energy above the most stable polymorph in this dataset is 1.828 eV/f.u. The value obtained for the calculated volume is 49.0 Å³ per cell.